A plane-wave DFT calculation with PBE was carried out for a relaxed structure of Ta6GaOs5.

```
data_Ta6GaOs5
_symmetry_space_group_name_H-M 'P 1 2/m 1'
_symmetry_Int_Tables_number 10
_cell_length_a 4.638
_cell_length_b 6.142
_cell_length_c 7.092
_cell_angle_alpha 90.00
_cell_angle_beta 103.53
_cell_angle_gamma 90.00
loop_
_symmetry_equiv_pos_as_xyz
'x,y,z'
'-x,-y,-z'
'-x,y,-z'
'x,-y,z'
loop_
_atom_site_label
_atom_site_fract_x
_atom_site_fract_y
_atom_site_fract_z
Ta1 0.000 0.249 0.000
Ta2 0.358 0.249 0.651
Ga1 0.500 0.500 0.000
Os1 0.115 0.500 0.313
Os2 0.124 0.000 0.318
Os3 0.500 0.000 0.000
```

---

A plane-wave DFT calculation with PBE was carried out for a relaxed structure of TaGaOs.

```
data_TaGaOs
_symmetry_space_group_name_H-M 'C 1 2/m 1'
_symmetry_Int_Tables_number 12
_cell_length_a 7.321
_cell_length_b 4.245
_cell_length_c 7.624
_cell_angle_alpha 90.00
_cell_angle_beta 109.60
_cell_angle_gamma 90.00
loop_
_symmetry_equiv_pos_as_xyz
'x,y,z'
'-x,-y,-z'
'-x,y,-z'
'x,-y,z'
'x+1/2,y+1/2,z'
'-x+1/2,-y+1/2,-z'
'-x+1/2,y+1/2,-z'
'x+1/2,-y+1/2,z'
loop_
_atom_site_label
_atom_site_fract_x
_atom_site_fract_y
_atom_site_fract_z
Ta1 0.192 0.000 0.072
Ga1 0.192 0.500 0.567
Os1 0.072 0.500 0.207
```

---

A plane-wave DFT calculation with PBE was carried out for a relaxed structure of Ta5GaOs6.

```
data_Ta5GaOs6
_symmetry_space_group_name_H-M 'C 1 2/m 1'
_symmetry_Int_Tables_number 12
_cell_length_a 13.730
_cell_length_b 6.717
_cell_length_c 4.367
_cell_angle_alpha 90.00
_cell_angle_beta 108.48
_cell_angle_gamma 90.00
loop_
_symmetry_equiv_pos_as_xyz
'x,y,z'
'-x,-y,-z'
'-x,y,-z'
'x,-y,z'
'x+1/2,y+1/2,z'
'-x+1/2,-y+1/2,-z'
'-x+1/2,y+1/2,-z'
'x+1/2,-y+1/2,z'
loop_
_atom_site_label
_atom_site_fract_x
_atom_site_fract_y
_atom_site_fract_z
Ta1 0.000 0.000 0.000
Ta2 0.156 0.000 0.657
Ta3 0.170 0.500 0.670
Ga1 0.000 0.500 0.000
Os1 0.000 0.268 0.500
Os2 0.168 0.260 0.167
```

---

A plane-wave DFT calculation with PBE was carried out for a relaxed structure of Ta2Ga2Os.

```
data_Ta2Ga2Os
_symmetry_space_group_name_H-M 'P 4/m b m'
_symmetry_Int_Tables_number 127
_symmetry_space_group_name_Hall '-P 4 2ab'
_cell_length_a 6.429
_cell_length_b 6.429
_cell_length_c 3.889
_cell_angle_alpha 90.00
_cell_angle_beta 90.00
_cell_angle_gamma 90.00
loop_
_atom_site_label
_atom_site_fract_x
_atom_site_fract_y
_atom_site_fract_z
Ta1 0.170 0.330 0.000
Ga1 0.134 0.634 0.500
Os1 0.000 0.000 0.500
```

---

A plane-wave DFT calculation with PBE was carried out for a relaxed structure of TaGaOs.

```
data_TaGaOs
_symmetry_space_group_name_H-M 'P -6 m 2'
_symmetry_Int_Tables_number 187
_symmetry_space_group_name_Hall 'P -6 2'
_cell_length_a 4.3473
_cell_length_b 4.3473
_cell_length_c 2.9014
_cell_angle_alpha 90.00
_cell_angle_beta 90.00
_cell_angle_gamma 120.00
loop_
_atom_site_label
_atom_site_fract_x
_atom_site_fract_y
_atom_site_fract_z
Ta1 0.0000 0.0000 0.0000
Ga1 0.6667 0.3333 0.5000
Os1 0.3333 0.6667 0.5000
```

---

A plane-wave DFT calculation with PBE was carried out for a relaxed structure of TaGaOs2.

```
data_TaGaOs2
_symmetry_space_group_name_H-M 'P 4/m m m'
_symmetry_Int_Tables_number 123
_symmetry_space_group_name_Hall '-P 4 2'
_cell_length_a 3.156
_cell_length_b 3.156
_cell_length_c 6.111
_cell_angle_alpha 90.00
_cell_angle_beta 90.00
_cell_angle_gamma 90.00
loop_
_atom_site_label
_atom_site_fract_x
_atom_site_fract_y
_atom_site_fract_z
Ta1 0.000 0.000 0.000
Ga1 0.000 0.000 0.500
Os1 0.500 0.500 0.256
```

---

A plane-wave DFT calculation with PBE was carried out for a relaxed structure of TaGaOs.

```
data_TaGaOs
_symmetry_space_group_name_H-M 'I 4 m m'
_symmetry_Int_Tables_number 107
_symmetry_space_group_name_Hall 'I 4 -2'
_cell_length_a 3.119
_cell_length_b 3.119
_cell_length_c 9.701
_cell_angle_alpha 90.00
_cell_angle_beta 90.00
_cell_angle_gamma 90.00
loop_
_atom_site_label
_atom_site_fract_x
_atom_site_fract_y
_atom_site_fract_z
Ta1 0.000 0.000 0.000
Ga1 0.000 0.000 0.683
Os1 0.000 0.000 0.340
```

---

# TaGaOs3 (PBE, optimized geometry)
# Energy above the most stable polymorph in this dataset (eV/atom): 0.000
data_TaGaOs3
_symmetry_space_group_name_H-M 'P m -3 m'
_symmetry_Int_Tables_number 221
_symmetry_space_group_name_Hall '-P 4 2 3'
_cell_length_a 4.438
_cell_length_b 4.438
_cell_length_c 4.438
_cell_angle_alpha 90.00
_cell_angle_beta 90.00
_cell_angle_gamma 90.00
loop_
_atom_site_label
_atom_site_fract_x
_atom_site_fract_y
_atom_site_fract_z
Ta1 0.000 0.000 0.000
Ga1 0.500 0.500 0.500
Os1 0.000 0.500 0.500

---

Formation energy for every record listed, in sequence, given in meV per atom: -231 188 -282 -106 -180 -280 -172 1402.
Magnetic moment for every record listed, in sequence, given in μB/cell: 0.00 0.00 0.00 0.00 0.00 0.00 0.00 0.00.
Final energy for every record listed, in sequence, given in eV per atom: -11.0890 -8.5153 -11.0874 -8.3038 -8.8834 -9.6146 -8.8746 -8.3119.